1.
Below is an optimized crystal structure of Y2Co3Ge5, with properties calculated at the PBE level.

symmetry: No. 72
spin magnetization: 1.4 μB/cell
E_tot: -6.321 eV/atom
ΔE_f: -0.59 eV per atom

```
Y2Co3Ge5
1.0
-0.4508 -5.6701 1.0362
2.6093 -1.7868 7.4873
-6.6079 -1.6090 4.4505
Y Co Ge
4 6 10
Cartesian
0.6378 -2.0532 5.1718 Y
-3.8825 -4.8054 4.2749 Y
-5.0872 -7.0127 7.8023 Y
-0.5670 -4.2605 8.6992 Y
-3.6843 -4.1964 7.6934 Co
-1.9824 -7.0687 8.8465 Co
-0.7652 -4.8694 5.2806 Co
-2.4670 -1.9972 4.1276 Co
-0.1127 -1.4175 0.2590 Co
-0.3381 -4.2526 0.7771 Co
-5.6384 -4.2617 6.4862 Ge
0.3029 -7.2157 9.0360 Ge
1.1889 -4.8042 6.4879 Ge
-4.7523 -1.8502 3.9381 Ge
-3.3139 -5.3245 9.7464 Ge
-1.1356 -3.7414 3.2276 Ge
-2.3374 -5.9505 6.7461 Ge
-2.1120 -3.1154 6.2280 Ge
-0.9102 -0.9063 2.7095 Ge
-3.5393 -8.1596 10.2645 Ge
```

2.
Below is an optimized crystal structure of NiAgW, with properties calculated at the PBE level.

symmetry: No. 107
spin magnetization: 0.0 μB/cell
E_tot: -6.886 eV/atom
ΔE_f: 0.31 eV per atom

```
NiAgW
1.0
6.2396 0.0081 0.0000
5.0317 3.6898 0.0000
-5.6356 -1.8489 1.9374
Ag Ni W
1 1 1
Cartesian
11.1918 3.6718 0.0000 Ag
3.6647 1.2023 0.0000 Ni
7.6859 2.5216 0.0000 W
```

3.
Below is an optimized crystal structure of InBi2Au, with properties calculated at the PBE level.

symmetry: No. 160
spin magnetization: 0.0 μB/cell
E_tot: -3.419 eV/atom
ΔE_f: 0.03 eV per atom

```
InBi2Au
1.0
4.5556 0.0000 0.0000
2.2778 3.9453 0.0000
2.2778 1.3151 6.6374
In Bi Au
1 2 1
Cartesian
4.5556 2.6302 3.2866 In
2.2778 1.3151 5.2984 Bi
2.2778 1.3151 1.3640 Bi
4.5556 2.6302 0.0070 Au
```

4.
Below is an optimized crystal structure of CrHgPS2, with properties calculated at the PBE level.

symmetry: No. 123
E_form (uncorrected): 27 kJ/mol of atoms
spin magnetization: 0.0 μB/cell
E_tot: -4.441 eV/atom

```
CrHgPS2
1.0
4.4210 0.0000 0.0000
0.0000 4.4210 0.0000
0.0000 0.0000 4.8391
Cr S Hg P
1 2 1 1
Cartesian
0.0000 0.0000 0.0000 Cr
0.0000 2.2105 0.0000 S
2.2105 0.0000 0.0000 S
2.2105 2.2105 2.4195 Hg
0.0000 0.0000 2.4195 P
```

5.
Below is an optimized crystal structure of Pr6In3Te, with properties calculated at the PBE level.

symmetry: No. 36
E_form (uncorrected): -42 kJ/mol of atoms
spin magnetization: 0.0 μB/cell
E_tot: -4.439 eV/atom

```
Pr6In3Te
1.0
-2.8465 -5.8709 -4.1593
8.3334 -1.2300 -3.9669
1.9519 -5.8741 6.9556
Pr In Te
12 6 2
Cartesian
8.1735 -5.5045 0.9447 Pr
5.6063 -9.2725 0.8232 Pr
4.9255 -6.4057 2.7781 Pr
5.5166 -7.8752 -2.7494 Pr
1.2031 -7.4581 5.7673 Pr
1.9563 -8.4939 0.7131 Pr
5.8220 -3.7810 -1.3877 Pr
6.1020 -5.7926 -7.1333 Pr
2.2013 -4.5241 1.9866 Pr
2.7925 -5.9936 -3.5409 Pr
2.7688 -1.7714 -0.6257 Pr
0.2015 -5.5394 -0.7473 Pr
8.2528 -8.2137 -1.1623 In
4.9168 -12.5412 0.0319 In
3.8684 -6.1804 -0.3680 In
2.4449 -9.1160 -2.4472 In
-2.2020 -7.6242 -2.0366 In
1.1340 -3.2967 -3.2308 In
3.0411 -5.1314 4.9724 Te
5.7460 -5.0627 -4.1729 Te
```

6.
Below is an optimized crystal structure of MnSi2N, with properties calculated at the PBE level.

symmetry: No. 6
E_form (uncorrected): -16 kJ/mol of atoms
spin magnetization: 0.0 μB/cell
E_tot: -7.249 eV/atom

```
MnSi2N
1.0
-1.2828 -2.4330 0.6795
1.0383 0.2293 2.7811
-3.9714 3.7947 1.1698
Mn Si N
1 2 1
Cartesian
-2.4395 0.0728 0.9047 Mn
-0.2290 0.7931 1.6139 Si
-3.7545 0.6136 2.9449 Si
-2.9952 1.9956 0.9537 N
```

7.
Below is an optimized crystal structure of KPm3Y2Te6, with properties calculated at the PBE level.

symmetry: No. 12
E_form (uncorrected): -131 kJ/mol of atoms
spin magnetization: 0.0 μB/cell
E_tot: -5.282 eV/atom

```
KPm3Y2Te6
1.0
-0.5079 3.8572 -2.1452
-3.9945 -4.3599 -6.8936
-7.2120 0.3692 6.9716
K Pm Y Te
1 3 2 6
Cartesian
-0.2539 1.9286 -1.0726 K
-2.2512 -0.2514 -4.5194 Pm
-6.0773 2.7019 1.6965 Pm
-5.6370 -2.8355 -3.7637 Pm
-7.8610 0.5854 -1.6867 Y
-3.8533 -0.7190 -0.3805 Y
-8.4988 -2.4681 -2.4256 Te
-5.0771 0.1843 -3.0669 Te
-3.2155 2.3345 0.3583 Te
-1.1316 -1.1131 -1.7335 Te
-10.5827 0.9795 -0.3337 Te
-6.6372 -0.3179 0.9997 Te
```

8.
Below is an optimized crystal structure of Sr2LiCd16, with properties calculated at the PBE level.

symmetry: No. 160
spin magnetization: 0.0 μB/cell
E_tot: -1.231 eV/atom
ΔE_f: -0.18 eV per atom

```
Sr2LiCd16
1.0
-5.1101 -4.3173 -3.9655
2.9317 -6.9694 1.8193
-4.7848 -1.6006 5.9179
Sr Li Cd
2 1 16
Cartesian
-4.6097 -8.5315 2.4969 Sr
-2.3576 -4.3635 1.2770 Sr
-6.3183 -11.6938 3.4224 Li
-2.0742 -10.4747 0.7533 Cd
-7.6206 -7.4809 0.7433 Cd
-4.2083 -7.7761 6.0343 Cd
-4.4381 -9.6952 -0.9471 Cd
-7.5250 -6.6823 3.6485 Cd
-1.9401 -9.3543 4.8295 Cd
-1.0571 -7.9738 2.2266 Cd
-4.9610 -6.6863 -0.5816 Cd
-4.8031 -5.3675 4.2163 Cd
-5.9188 -4.8850 1.5376 Cd
-1.9811 -6.1836 4.3701 Cd
-2.1404 -7.5138 -0.4693 Cd
-8.3534 -9.4249 2.8657 Cd
-4.4378 -10.7163 5.6824 Cd
-4.5962 -12.0391 0.8700 Cd
-0.7360 -1.3621 0.3986 Cd
```